No. 1
Density functional theory data (PBE) for a geometry-optimized P2SeBr structure.

## Properties
M_tot   0.000 μB/atom
V   115.5 Å³ per cell
Offset from the most stable computed form   1 meV per atom
Formation energy (no corrections)   47 meV/atom

Geometry as CIF:
```
data_P2SeBr
_chemical_formula_sum 'P2 Se1 Br1'
_symmetry_space_group_name_H-M 'P 1'
_symmetry_Int_Tables_number 1
_cell_length_a 5.4519
_cell_length_b 5.4519
_cell_length_c 6.7866
_cell_angle_alpha 88.86
_cell_angle_beta 88.86
_cell_angle_gamma 34.94
loop_
_symmetry_equiv_pos_as_xyz
'x,y,z'
loop_
_atom_site_label
_atom_site_type_symbol
_atom_site_fract_x
_atom_site_fract_y
_atom_site_fract_z
Br1 Br 0.2797 0.2797 0.1559
P1 P 0.0995 0.0995 0.9775
P2 P 0.6551 0.6551 0.7590
Se1 Se 0.4657 0.4657 0.6076
```

***

No. 2
Density functional theory data (PBE) for a geometry-optimized P2SeBr structure.

## Properties
M_tot   0.001 μB/atom
V   96.6 Å³ per cell
Offset from the most stable computed form   482 meV per atom
Formation energy (no corrections)   529 meV/atom

Geometry as CIF:
```
data_P2SeBr
_chemical_formula_sum 'P2 Se1 Br1'
_symmetry_space_group_name_H-M 'P 1'
_symmetry_Int_Tables_number 1
_cell_length_a 3.5421
_cell_length_b 3.5421
_cell_length_c 7.6955
_cell_angle_alpha 90.00
_cell_angle_beta 90.00
_cell_angle_gamma 90.00
loop_
_symmetry_equiv_pos_as_xyz
'x,y,z'
loop_
_atom_site_label
_atom_site_type_symbol
_atom_site_fract_x
_atom_site_fract_y
_atom_site_fract_z
P1 P 0.0000 0.0000 0.8603
P2 P 0.0000 0.0000 0.1397
Se1 Se 0.5000 0.5000 0.0000
Br1 Br 0.5000 0.5000 0.5000
```

***

No. 3
Density functional theory data (PBE) for a geometry-optimized P2SeBr structure.

## Properties
M_tot   0.000 μB/atom
V   85.1 Å³ per cell
Offset from the most stable computed form   504 meV per atom
Formation energy (no corrections)   550 meV/atom

Geometry as CIF:
```
data_P2SeBr
_chemical_formula_sum 'P2 Se1 Br1'
_symmetry_space_group_name_H-M 'P 1'
_symmetry_Int_Tables_number 1
_cell_length_a 6.2702
_cell_length_b 6.2702
_cell_length_c 6.2702
_cell_angle_alpha 38.32
_cell_angle_beta 38.32
_cell_angle_gamma 38.32
loop_
_symmetry_equiv_pos_as_xyz
'x,y,z'
loop_
_atom_site_label
_atom_site_type_symbol
_atom_site_fract_x
_atom_site_fract_y
_atom_site_fract_z
Br1 Br 0.7500 0.7500 0.7500
P1 P 0.9775 0.9775 0.9775
P2 P 0.5225 0.5225 0.5225
Se1 Se 0.2500 0.2500 0.2500
```

***

No. 4
Density functional theory data (PBE) for a geometry-optimized PSeBr structure.

## Properties
M_tot   0.000 μB/atom
V   71.3 Å³ per cell
Formation energy (no corrections)   563 meV/atom

Geometry as CIF:
```
data_PSeBr
_chemical_formula_sum 'P1 Se1 Br1'
_symmetry_space_group_name_H-M 'P 1'
_symmetry_Int_Tables_number 1
_cell_length_a 4.6539
_cell_length_b 4.6539
_cell_length_c 4.6539
_cell_angle_alpha 60.00
_cell_angle_beta 60.00
_cell_angle_gamma 60.00
loop_
_symmetry_equiv_pos_as_xyz
'x,y,z'
loop_
_atom_site_label
_atom_site_type_symbol
_atom_site_fract_x
_atom_site_fract_y
_atom_site_fract_z
P1 P 0.2500 0.2500 0.2500
Se1 Se 0.0000 0.0000 0.0000
Br1 Br 0.5000 0.5000 0.5000
```

***

No. 5
Density functional theory data (PBE) for a geometry-optimized P2SeBr structure.

## Properties
M_tot   0.000 μB/atom
V   75.4 Å³ per cell
Offset from the most stable computed form   853 meV per atom
Formation energy (no corrections)   899 meV/atom

Geometry as CIF:
```
data_P2SeBr
_chemical_formula_sum 'P2 Se1 Br1'
_symmetry_space_group_name_H-M 'P 1'
_symmetry_Int_Tables_number 1
_cell_length_a 4.7421
_cell_length_b 4.7421
_cell_length_c 4.7421
_cell_angle_alpha 60.00
_cell_angle_beta 60.00
_cell_angle_gamma 60.00
loop_
_symmetry_equiv_pos_as_xyz
'x,y,z'
loop_
_atom_site_label
_atom_site_type_symbol
_atom_site_fract_x
_atom_site_fract_y
_atom_site_fract_z
P1 P 0.2500 0.2500 0.2500
P2 P 0.7500 0.7500 0.7500
Se1 Se 0.0000 0.0000 0.0000
Br1 Br 0.5000 0.5000 0.5000
```

***

No. 6
Density functional theory data (PBE) for a geometry-optimized P2SeBr structure.

## Properties
M_tot   0.000 μB/atom
V   108.1 Å³ per cell
Offset from the most stable computed form   225 meV per atom
Formation energy (no corrections)   271 meV/atom

Geometry as CIF:
```
data_P2SeBr
_chemical_formula_sum 'P2 Se1 Br1'
_symmetry_space_group_name_H-M 'P 1'
_symmetry_Int_Tables_number 1
_cell_length_a 5.9693
_cell_length_b 5.9693
_cell_length_c 7.8057
_cell_angle_alpha 49.33
_cell_angle_beta 49.33
_cell_angle_gamma 31.90
loop_
_symmetry_equiv_pos_as_xyz
'x,y,z'
loop_
_atom_site_label
_atom_site_type_symbol
_atom_site_fract_x
_atom_site_fract_y
_atom_site_fract_z
Br1 Br 0.2500 0.2500 0.2500
P1 P 0.9111 0.9111 0.8529
P2 P 0.5889 0.5889 0.6471
Se1 Se 0.7500 0.7500 0.7500
```

***

No. 7
Density functional theory data (PBE) for a geometry-optimized P2SeBr structure.

## Properties
M_tot   0.000 μB/atom
V   96.5 Å³ per cell
Offset from the most stable computed form   602 meV per atom
Formation energy (no corrections)   648 meV/atom

Geometry as CIF:
```
data_P2SeBr
_chemical_formula_sum 'P2 Se1 Br1'
_symmetry_space_group_name_H-M 'P 1'
_symmetry_Int_Tables_number 1
_cell_length_a 5.5735
_cell_length_b 5.5735
_cell_length_c 5.5735
_cell_angle_alpha 144.06
_cell_angle_beta 98.35
_cell_angle_gamma 92.58
loop_
_symmetry_equiv_pos_as_xyz
'x,y,z'
loop_
_atom_site_label
_atom_site_type_symbol
_atom_site_fract_x
_atom_site_fract_y
_atom_site_fract_z
Br1 Br 0.7500 0.2500 0.5000
P1 P 0.0210 0.0210 0.0000
P2 P 0.4790 0.4790 0.0000
Se1 Se 0.2500 0.7500 0.5000
```

***

No. 8
Density functional theory data (PBE) for a geometry-optimized PSeBr structure.

## Properties
M_tot   0.000 μB/atom
V   85.6 Å³ per cell
Formation energy (no corrections)   -36 meV/atom

Geometry as CIF:
```
data_PSeBr
_chemical_formula_sum 'P1 Se1 Br1'
_symmetry_space_group_name_H-M 'P 1'
_symmetry_Int_Tables_number 1
_cell_length_a 7.0010
_cell_length_b 7.0010
_cell_length_c 7.0010
_cell_angle_alpha 150.00
_cell_angle_beta 150.00
_cell_angle_gamma 42.94
loop_
_symmetry_equiv_pos_as_xyz
'x,y,z'
loop_
_atom_site_label
_atom_site_type_symbol
_atom_site_fract_x
_atom_site_fract_y
_atom_site_fract_z
P1 P 0.2107 0.2107 0.0000
Se1 Se 0.7493 0.7493 0.0000
Br1 Br 0.0400 0.0400 0.0000
```

***

No. 9
Density functional theory data (PBE) for a geometry-optimized PSeBr structure.

## Properties
M_tot   0.000 μB/atom
V   76.7 Å³ per cell
Formation energy (no corrections)   337 meV/atom

Geometry as CIF:
```
data_PSeBr
_chemical_formula_sum 'P1 Se1 Br1'
_symmetry_space_group_name_H-M 'P 1'
_symmetry_Int_Tables_number 1
_cell_length_a 7.9073
_cell_length_b 7.9073
_cell_length_c 7.9073
_cell_angle_alpha 156.80
_cell_angle_beta 156.80
_cell_angle_gamma 33.04
loop_
_symmetry_equiv_pos_as_xyz
'x,y,z'
loop_
_atom_site_label
_atom_site_type_symbol
_atom_site_fract_x
_atom_site_fract_y
_atom_site_fract_z
P1 P 0.2906 0.2906 0.0000
Se1 Se 0.7168 0.7168 0.0000
Br1 Br 0.9926 0.9926 0.0000
```

***

No. 10
Density functional theory data (PBE) for a geometry-optimized PSeBr structure.

## Properties
M_tot   0.000 μB/atom
V   231.5 Å³ per cell
Formation energy (no corrections)   -82 meV/atom

Geometry as CIF:
```
data_PSeBr
_chemical_formula_sum 'P2 Se2 Br2'
_symmetry_space_group_name_H-M 'P 1'
_symmetry_Int_Tables_number 1
_cell_length_a 4.2939
_cell_length_b 8.1507
_cell_length_c 7.0404
_cell_angle_alpha 82.65
_cell_angle_beta 71.45
_cell_angle_gamma 85.48
loop_
_symmetry_equiv_pos_as_xyz
'x,y,z'
loop_
_atom_site_label
_atom_site_type_symbol
_atom_site_fract_x
_atom_site_fract_y
_atom_site_fract_z
P1 P 0.1143 0.2957 0.2905
P2 P 0.1259 0.0176 0.3266
Se1 Se 0.6461 0.9326 0.2186
Se2 Se 0.5941 0.3807 0.3985
Br1 Br 0.9362 0.9759 0.6621
Br2 Br 0.3040 0.3375 0.9551
```

***

No. 11
Density functional theory data (PBE) for a geometry-optimized PSe4Br3 structure.

## Properties
M_tot   0.000 μB/atom
V   349.0 Å³ per cell
Formation energy (no corrections)   76 meV/atom

Geometry as CIF:
```
data_PSe4Br3
_chemical_formula_sum 'P1 Se4 Br3'
_symmetry_space_group_name_H-M 'P 1'
_symmetry_Int_Tables_number 1
_cell_length_a 7.7786
_cell_length_b 7.7786
_cell_length_c 7.7786
_cell_angle_alpha 96.91
_cell_angle_beta 118.32
_cell_angle_gamma 113.91
loop_
_symmetry_equiv_pos_as_xyz
'x,y,z'
loop_
_atom_site_label
_atom_site_type_symbol
_atom_site_fract_x
_atom_site_fract_y
_atom_site_fract_z
P1 P 0.0481 0.5000 0.5481
Se1 Se 0.1638 0.7097 0.8735
Se2 Se 0.1638 0.2903 0.4541
Se3 Se 0.6664 0.3464 0.3199
Se4 Se 0.9735 0.6536 0.3199
Br1 Br 0.4540 0.3204 0.7743
Br2 Br 0.2275 0.0000 0.2275
Br3 Br 0.4540 0.6796 0.1336
```

***

No. 12
Density functional theory data (PBE) for a geometry-optimized PSeBr3 structure.

## Properties
M_tot   0.000 μB/atom
V   464.6 Å³ per cell
Offset from the most stable computed form   0 meV per atom
Formation energy (no corrections)   -245 meV/atom

Geometry as CIF:
```
data_PSeBr3
_chemical_formula_sum 'P2 Se2 Br6'
_symmetry_space_group_name_H-M 'P 1'
_symmetry_Int_Tables_number 1
_cell_length_a 7.2762
_cell_length_b 7.0665
_cell_length_c 9.1048
_cell_angle_alpha 97.02
_cell_angle_beta 89.94
_cell_angle_gamma 89.83
loop_
_symmetry_equiv_pos_as_xyz
'x,y,z'
loop_
_atom_site_label
_atom_site_type_symbol
_atom_site_fract_x
_atom_site_fract_y
_atom_site_fract_z
P1 P 0.7287 0.7483 0.3053
P2 P 0.2292 0.6045 0.7932
Se1 Se 0.8141 0.4615 0.2800
Se2 Se 0.3131 0.8912 0.8196
Br1 Br 0.4590 0.3921 0.7709
Br2 Br 0.5612 0.8288 0.1171
Br3 Br 0.0598 0.5242 0.5909
Br4 Br 0.9574 0.9606 0.3261
Br5 Br 0.0623 0.5228 0.9813
Br6 Br 0.5591 0.8299 0.5078
```

***

No. 13
Density functional theory data (PBE) for a geometry-optimized P2SeBr structure.

## Properties
M_tot   0.126 μB/atom
V   94.4 Å³ per cell
Offset from the most stable computed form   686 meV per atom
Formation energy (no corrections)   732 meV/atom

Geometry as CIF:
```
data_P2SeBr
_chemical_formula_sum 'P2 Se1 Br1'
_symmetry_space_group_name_H-M 'P 1'
_symmetry_Int_Tables_number 1
_cell_length_a 3.6094
_cell_length_b 7.1445
_cell_length_c 3.6602
_cell_angle_alpha 90.00
_cell_angle_beta 90.00
_cell_angle_gamma 90.00
loop_
_symmetry_equiv_pos_as_xyz
'x,y,z'
loop_
_atom_site_label
_atom_site_type_symbol
_atom_site_fract_x
_atom_site_fract_y
_atom_site_fract_z
Br1 Br 0.0000 0.5000 0.5000
P1 P 0.0000 0.0000 0.0000
P2 P 0.5000 0.5000 0.0000
Se1 Se 0.5000 0.0000 0.5000
```

***

No. 14
Density functional theory data (PBE) for a geometry-optimized P2SeBr structure.

## Properties
M_tot   0.000 μB/atom
V   93.6 Å³ per cell
Offset from the most stable computed form   250 meV per atom
Formation energy (no corrections)   296 meV/atom

Geometry as CIF:
```
data_P2SeBr
_chemical_formula_sum 'P2 Se1 Br1'
_symmetry_space_group_name_H-M 'P 1'
_symmetry_Int_Tables_number 1
_cell_length_a 3.8019
_cell_length_b 4.5614
_cell_length_c 6.0165
_cell_angle_alpha 63.79
_cell_angle_beta 90.00
_cell_angle_gamma 90.00
loop_
_symmetry_equiv_pos_as_xyz
'x,y,z'
loop_
_atom_site_label
_atom_site_type_symbol
_atom_site_fract_x
_atom_site_fract_y
_atom_site_fract_z
Br1 Br 0.5000 0.7500 0.7500
P1 P 0.0000 0.9789 0.0995
P2 P 0.0000 0.5211 0.4005
Se1 Se 0.5000 0.2500 0.2500
```